Computed, not measured: an optimized crystal structure of NaV2I at the PBE level of DFT.

Lattice parameters (Å, degrees): 4.946 4.946 4.946 60.00 60.00 60.00
Fractional coordinates of all 4 atoms:
1 Na 0.000 0.000 0.000
2 V 0.750 0.750 0.750
3 V 0.250 0.250 0.250
4 I 0.500 0.500 0.500

Results
- excess energy over the best structure of this formula in the dataset (meV per atom) = 14.9


Computed, not measured: an optimized crystal structure of Na2VI at the PBE level of DFT.

Lattice parameters (Å, degrees): 8.905 8.905 7.022 50.64 50.64 90.00
Fractional coordinates of all 8 atoms:
1 I 0.750 0.250 0.500
2 Na 0.640 0.125 0.250
3 Na 0.110 0.625 0.250
4 Na 0.375 0.360 0.750
5 Na 0.875 0.890 0.750
6 V 0.250 0.750 0.500
7 V 0.500 0.500 0.000
8 I 0.000 0.000 0.000

Results
- excess energy over the best structure of this formula in the dataset (meV per atom) = 0.0


Computed, not measured: an optimized crystal structure of NaV2I8 at the PBE level of DFT.

Lattice parameters (Å, degrees): 7.308 9.272 9.272 66.44 86.88 86.88
Fractional coordinates of all 11 atoms:
1 I 0.249 0.305 0.896
2 I 0.751 0.695 0.104
3 I 0.751 0.104 0.695
4 I 0.249 0.896 0.305
5 I 0.230 0.334 0.334
6 I 0.770 0.666 0.666
7 Na 0.000 0.000 0.000
8 I 0.291 0.823 0.823
9 V 0.360 0.179 0.179
10 I 0.709 0.177 0.177
11 V 0.640 0.821 0.821


| no. | formation energy from raw total energies (eV per formula unit) | total DFT energy (no corrections) (eV for the cell shown) | N(E_F) (states/eV/atom) |
| --- | --- | --- | --- |
| 1 | 4.4 | -16.72 | 0.941 |
| 2 | 1.7 | -23.21 | 1.338 |
| 3 | -5.8 | -37.80 | 1.027 |